The following is a GGA-PBE calculation of a geometry-optimized CaPm15Tm4 structure, from Alexandria via LeMat-Bulk.

Cell lengths 5.1320, 5.1320, 25.5679 Å; angles 90.00, 90.00, 90.00 degrees
Closest atoms and distances in Å follow each position.
Fractional coordinates of all 20 atoms:
1 Ca 0.0000 0.0000 0.0000  12 Pm 3.63-3.70
2 Pm 0.5000 0.5000 0.0000  4 Ca 3.63, 8 Pm 3.70
3 Pm 0.5000 0.5000 0.2017  8 Pm 3.58-3.62, 4 Tm 3.63
4 Pm 0.5000 0.5000 0.4005  8 Pm 3.60-3.61, 4 Tm 3.63
5 Pm 0.5000 0.5000 0.5995  8 Pm 3.60-3.61, 4 Tm 3.63
6 Pm 0.5000 0.5000 0.7983  8 Pm 3.58-3.62, 4 Tm 3.63
7 Pm 0.5000 0.0000 0.1043  2 Tm 3.58, 8 Pm 3.58-3.70, 2 Ca 3.70
8 Pm 0.5000 0.0000 0.3016  8 Pm 3.60-3.63, 4 Tm 3.61-3.62
9 Pm 0.5000 0.0000 0.5000  4 Tm 3.61, 8 Pm 3.61-3.63
10 Pm 0.5000 0.0000 0.6984  8 Pm 3.60-3.63, 4 Tm 3.61-3.62
11 Pm 0.5000 0.0000 0.8957  2 Tm 3.58, 8 Pm 3.58-3.70, 2 Ca 3.70
12 Pm 0.0000 0.5000 0.1043  2 Tm 3.58, 8 Pm 3.58-3.70, 2 Ca 3.70
13 Pm 0.0000 0.5000 0.3016  8 Pm 3.60-3.63, 4 Tm 3.61-3.62
14 Pm 0.0000 0.5000 0.5000  4 Tm 3.61, 8 Pm 3.61-3.63
15 Pm 0.0000 0.5000 0.6984  8 Pm 3.60-3.63, 4 Tm 3.61-3.62
16 Pm 0.0000 0.5000 0.8957  2 Tm 3.58, 8 Pm 3.58-3.70, 2 Ca 3.70
17 Tm 0.0000 0.0000 0.2017  12 Pm 3.58-3.63
18 Tm 0.0000 0.0000 0.4008  12 Pm 3.61-3.63
19 Tm 0.0000 0.0000 0.5992  12 Pm 3.61-3.63
20 Tm 0.0000 0.0000 0.7983  12 Pm 3.58-3.63

Results
The theoretical density comes out at 7.13 Mg/m³. Its space group is P4/mmm, No. 123. The volume is 673.4 Å³/f.u. The calculation puts the energy of formation from the pure elements at 0.02 eV per atom.

---

The following is a GGA-PBE calculation of a geometry-optimized YNbFe4 structure, from Alexandria via LeMat-Bulk.

Cell lengths 4.9974, 4.9974, 4.9974 Å; angles 60.00, 60.00, 60.00 degrees
Closest atoms and distances in Å follow each position.
Fractional coordinates of all 6 atoms:
1 Y 0.0000 0.0000 0.0000  12 Fe 2.93, 4 Nb 3.06
2 Nb 0.2500 0.2500 0.2500  12 Fe 2.93, 4 Y 3.06
3 Fe 0.6243 0.6243 0.1270  6 Fe 2.49-2.51
4 Fe 0.6243 0.1270 0.6243  6 Fe 2.49-2.51
5 Fe 0.6243 0.6243 0.6243  6 Fe 2.49-2.51
6 Fe 0.1270 0.6243 0.6243  6 Fe 2.49-2.51

Results
The theoretical density comes out at 7.62 Mg/m³. Its space group is F-43m, No. 216. The volume is 88.3 Å³/f.u. The calculation puts the energy of formation from the pure elements at -0.05 eV per atom.

---

The following is a GGA-PBE calculation of a geometry-optimized PaCoGeN structure, from Alexandria via LeMat-Bulk.

Cell lengths 3.9434, 3.9434, 7.8876 Å; angles 90.00, 90.00, 90.00 degrees
Closest atoms and distances in Å follow each position.
Fractional coordinates of all 8 atoms:
1 Pa 0.5000 0.0000 0.6480  4 N 2.29
2 Pa 0.0000 0.5000 0.3520  4 N 2.29
3 Co 0.5000 0.5000 0.0000  4 Ge 2.33
4 Co 0.0000 0.0000 0.0000  4 Ge 2.33
5 Ge 0.0000 0.5000 0.8417  4 Co 2.33
6 Ge 0.5000 0.0000 0.1583  4 Co 2.33
7 N 0.0000 0.0000 0.5000  4 Pa 2.29
8 N 0.5000 0.5000 0.5000  4 Pa 2.29

Results
The theoretical density comes out at 10.20 Mg/m³. Its space group is P4/nmm, No. 129. The volume is 61.3 Å³/f.u. Its uncorrected formation energy is -1.025 eV per atom.

---

The following is a GGA-PBE calculation of a geometry-optimized BaNaSbOs2 structure, from Alexandria via LeMat-Bulk.

Cell lengths 4.9290, 5.1667, 4.9290 Å; angles 90.00, 90.00, 90.00 degrees
Closest atoms and distances in Å follow each position.
Fractional coordinates of all 5 atoms:
1 Sb 0.5000 0.5000 0.5000  4 Ba 3.49, 8 Os 3.57
2 Os 0.0000 0.0000 0.5000  2 Na 2.46
3 Os 0.5000 0.0000 0.0000  2 Na 2.46
4 Ba 0.0000 0.5000 0.0000  2 Na 2.58
5 Na 0.0000 0.0000 0.0000  4 Os 2.46, 2 Ba 2.58

Results
The theoretical density comes out at 8.76 Mg/m³. Its space group is P4/mmm, No. 123. The volume is 125.5 Å³/f.u. Its uncorrected formation energy is 2.014 eV per atom.

---

The following is a GGA-PBE calculation of a geometry-optimized K2CdIn2 structure, from Alexandria via LeMat-Bulk.

Cell lengths 4.7748, 4.7748, 8.8559 Å; angles 74.36, 74.36, 90.00 degrees
Closest atoms and distances in Å follow each position.
Fractional coordinates of all 5 atoms:
1 K 0.7500 0.2500 0.5000  4 K 3.38, 4 In 3.59
2 K 0.2500 0.7500 0.5000  4 K 3.38, 4 In 3.59
3 Cd 0.0000 0.0000 0.0000  8 In 3.66
4 In 0.4134 0.4134 0.1732  1 In 2.84
5 In 0.5866 0.5866 0.8268  1 In 2.84

Results
The theoretical density comes out at 3.74 Mg/m³. Its polymorph energy (0 for the lowest one) is 337 meV/atom. Its space group is I4/mmm, No. 139. The volume is 186.7 Å³/f.u. The calculation puts the energy of formation from the pure elements at 0.23 eV per atom.

---

The following is a GGA-PBE calculation of a geometry-optimized KNa2LiGe structure, from Alexandria via LeMat-Bulk.

Cell lengths 5.7330, 5.7330, 5.1730 Å; angles 90.00, 90.00, 90.00 degrees
Closest atoms and distances in Å follow each position.
Fractional coordinates of all 5 atoms:
1 Na 0.0000 0.5000 0.0000  2 Ge 2.87
2 Na 0.5000 0.0000 0.0000  2 Ge 2.87
3 Ge 0.0000 0.0000 0.0000  2 Li 2.59, 4 Na 2.87
4 K 0.5000 0.5000 0.5000  8 Na 3.86, 4 Li 4.05
5 Li 0.0000 0.0000 0.5000  2 Ge 2.59

Results
The theoretical density comes out at 1.61 Mg/m³. Its polymorph energy (0 for the lowest one) is 0 meV/atom. Its space group is P4/mmm, No. 123. The volume is 170.0 Å³/f.u. The calculation puts the energy of formation from the pure elements at -0.05 eV per atom.

---

The following is a GGA-PBE calculation of a geometry-optimized NdTh2H structure, from Alexandria via LeMat-Bulk.

Cell lengths 3.4745, 3.4745, 10.0732 Å; angles 80.07, 80.07, 60.00 degrees
Closest atoms and distances in Å follow each position.
Fractional coordinates of all 4 atoms:
1 H 0.5000 0.5000 0.5000  6 Th 2.54
2 Nd 0.0000 0.0000 0.0000  2 Th 3.37, 6 Nd 3.47
3 Th 0.1138 0.1138 0.6587  3 H 2.54
4 Th 0.8862 0.8862 0.3413  3 H 2.54

Results
The calculation puts the calculated total energy at -22.69 eV for the cell shown. The theoretical density comes out at 9.80 Mg/m³. Its space group is R-3m, No. 166. The volume is 103.2 Å³/f.u.

---

The following is a GGA-PBE calculation of a geometry-optimized La4TiCl2 structure, from Alexandria via LeMat-Bulk.

Cell lengths 5.7525, 5.7525, 8.1665 Å; angles 69.38, 69.38, 90.00 degrees
Closest atoms and distances in Å follow each position.
Fractional coordinates of all 7 atoms:
1 Cl 0.6056 0.6056 0.7888  1 La 2.80, 1 Cl 2.99
2 Cl 0.3944 0.3944 0.2112  1 La 2.80, 1 Cl 2.99
3 Ti 0.0000 0.0000 0.0000  6 La 2.78-2.88
4 La 0.8036 0.8036 0.3928  1 Ti 2.78, 1 Cl 2.80
5 La 0.1964 0.1964 0.6072  1 Ti 2.78, 1 Cl 2.80
6 La 0.0000 0.5000 0.0000  2 Ti 2.88
7 La 0.5000 0.0000 0.0000  2 Ti 2.88

Results
The theoretical density comes out at 4.78 Mg/m³. Its space group is I4/mmm, No. 139. The volume is 234.3 Å³/f.u. Its uncorrected formation energy is -0.403 eV per atom.

---

The following is a GGA-PBE calculation of a geometry-optimized Cs2BeBiO4 structure, from Alexandria via LeMat-Bulk.

Cell lengths 5.2847, 6.8264, 12.0438 Å; angles 85.13, 77.33, 67.23 degrees
Closest atoms and distances in Å follow each position.
Fractional coordinates of all 16 atoms:
1 Cs 0.1768 0.0000 0.6464  4 O 3.26-3.41
2 Cs 0.8232 0.0000 0.3536  4 O 3.26-3.41
3 Cs 0.5732 0.5000 0.8536  4 O 3.26-3.41
4 Cs 0.9268 0.5000 0.1464  4 O 3.26-3.41
5 Be 0.2500 0.5000 0.5000  4 O 1.71
6 Be 0.5000 0.0000 0.0000  4 O 1.71
7 Bi 0.7500 0.5000 0.5000  4 O 2.14
8 Bi 0.0000 0.0000 0.0000  4 O 2.14
9 O 0.3497 0.8380 0.0792  1 Be 1.71
10 O 0.2669 0.1620 0.9208  1 Be 1.71
11 O 0.8123 0.8380 0.9208  1 Be 1.71
12 O 0.5711 0.1620 0.0792  1 Be 1.71
13 O 0.4003 0.6620 0.4208  1 Be 1.71
14 O 0.4831 0.3380 0.5792  1 Be 1.71
15 O 0.9377 0.6620 0.5792  1 Be 1.71
16 O 0.1789 0.3380 0.4208  1 Be 1.71

Results
The theoretical density comes out at 4.65 Mg/m³. Its space group is Fddd, No. 70. The volume is 195.4 Å³/f.u. Its uncorrected formation energy is -1.375 eV per atom.

---

The following is a GGA-PBE calculation of a geometry-optimized YSbW2 structure, from Alexandria via LeMat-Bulk.

Cell lengths 5.0388, 5.0388, 5.0388 Å; angles 127.07, 127.07, 78.13 degrees
Closest atoms and distances in Å follow each position.
Fractional coordinates of all 4 atoms:
1 Sb 0.7500 0.2500 0.5000  8 W 2.98-3.18, 4 Y 2.98
2 W 0.0000 0.0000 0.0000  4 Sb 2.98, 4 W 2.98, 4 Y 3.18
3 W 0.2500 0.7500 0.5000  4 Y 2.98, 4 W 2.98, 4 Sb 3.18
4 Y 0.5000 0.5000 0.0000  8 W 2.98-3.18, 4 Sb 2.98

Results
The theoretical density comes out at 12.17 Mg/m³. Its space group is I-4m2, No. 119. The volume is 78.9 Å³/f.u. Its uncorrected formation energy is 0.457 eV per atom.